Here is a relaxed Nb3MoI crystal from the Alexandria database. Energies are from PBE.

The structure in CIF format:
```
data_Nb3MoI
_cell_length_a 4.934
_cell_length_b 4.934
_cell_length_c 4.934
_cell_angle_alpha 90.00
_cell_angle_beta 90.00
_cell_angle_gamma 90.00
_symmetry_space_group_name_H-M 'P m -3 m'
_symmetry_Int_Tables_number 221
_symmetry_space_group_name_Hall '-P 4 2 3'
loop_
_atom_site_label
_atom_site_fract_x
_atom_site_fract_y
_atom_site_fract_z
Nb1 0.000 0.000 0.500
Mo1 0.000 0.000 0.000
I1 0.500 0.500 0.500
```

Summary:
Fermi-level density of states   6.800 states/eV/cell
Density   6.935 g/cm3
Total magnetic moment   0.000 μB/cell
ΔE_f (raw)   1.32 eV per atom